P:
WAu2Cl at its PBEsol-relaxed geometry. Source: Alexandria via LeMat-Bulk, functional meta-GGA SCAN.

Summary:
Crystal system: monoclinic
DOS at the Fermi energy (states/eV/f.u.): 1.63

Geometry as CIF:
```
data_WAu2Cl
_chemical_formula_sum 'W2 Au4 Cl2'
_space_group_name_H-M_alt 'C 1 m 1'
_space_group_IT_number 8
_cell_length_a 8.286
_cell_length_b 2.843
_cell_length_c 5.804
_cell_angle_alpha 90.00
_cell_angle_beta 99.09
_cell_angle_gamma 90.00
loop_
_space_group_symop_operation_xyz
'x,y,z'
'x,-y,z'
'x+1/2,y+1/2,z'
'x+1/2,-y+1/2,z'
loop_
_atom_site_label
_atom_site_type_symbol
_atom_site_fract_x
_atom_site_fract_y
_atom_site_fract_z
W1 W 0.000 0.000 0.000
Au1 Au 0.009 0.500 0.449
Au2 Au 0.261 0.000 0.714
Cl1 Cl 0.237 0.500 0.156
```

Q:
WAu2Cl at its PBEsol-relaxed geometry. Source: Alexandria via LeMat-Bulk, functional meta-GGA SCAN.

Summary:
Crystal system: tetragonal
DOS at the Fermi energy (states/eV/f.u.): 2.82

Geometry as CIF:
```
data_WAu2Cl
_chemical_formula_sum 'W2 Au4 Cl2'
_space_group_name_H-M_alt 'I 4/m m m'
_space_group_IT_number 139
_space_group_name_Hall '-I 4 2'
_cell_length_a 3.900
_cell_length_b 3.900
_cell_length_c 8.788
_cell_angle_alpha 90.00
_cell_angle_beta 90.00
_cell_angle_gamma 90.00
loop_
_atom_site_label
_atom_site_type_symbol
_atom_site_fract_x
_atom_site_fract_y
_atom_site_fract_z
W1 W 0.000 0.000 0.000
Au1 Au 0.000 0.500 0.250
Cl1 Cl 0.000 0.000 0.500
```

Relative energies, in eV/atom, with the most stable structure set to zero: P 0.000; Q 0.554.

P:
WAu2Cl at its PBEsol-relaxed geometry. Source: Alexandria via LeMat-Bulk, functional meta-GGA SCAN.

Summary:
Crystal system: trigonal
DOS at the Fermi energy (states/eV/f.u.): 1.46

Geometry as CIF:
```
data_WAu2Cl
_chemical_formula_sum 'W3 Au6 Cl3'
_space_group_name_H-M_alt 'R -3 m'
_space_group_IT_number 166
_space_group_name_Hall '-R 3 2"'
_cell_length_a 2.9819
_cell_length_b 2.9819
_cell_length_c 26.1616
_cell_angle_alpha 90.00
_cell_angle_beta 90.00
_cell_angle_gamma 120.00
loop_
_atom_site_label
_atom_site_type_symbol
_atom_site_fract_x
_atom_site_fract_y
_atom_site_fract_z
W1 W 0.0000 0.0000 0.0000
Au1 Au 0.0000 0.0000 0.2507
Cl1 Cl 0.0000 0.0000 0.5000
```

Q:
WAu2Cl at its PBEsol-relaxed geometry. Source: Alexandria via LeMat-Bulk, functional meta-GGA SCAN.

Summary:
Crystal system: orthorhombic
DOS at the Fermi energy (states/eV/f.u.): 1.62

Geometry as CIF:
```
data_WAu2Cl
_chemical_formula_sum 'W2 Au4 Cl2'
_space_group_name_H-M_alt 'A m m 2'
_space_group_IT_number 38
_cell_length_a 4.195
_cell_length_b 2.816
_cell_length_c 11.203
_cell_angle_alpha 90.00
_cell_angle_beta 90.00
_cell_angle_gamma 90.00
loop_
_space_group_symop_operation_xyz
'x,y,z'
'-x,-y,z'
'-x,y,z'
'x,-y,z'
'x,y+1/2,z+1/2'
'-x,-y+1/2,z+1/2'
'-x,y+1/2,z+1/2'
'x,-y+1/2,z+1/2'
loop_
_atom_site_label
_atom_site_type_symbol
_atom_site_fract_x
_atom_site_fract_y
_atom_site_fract_z
W1 W 0.000 0.000 0.000
Au1 Au 0.000 0.000 0.740
Au2 Au 0.500 0.000 0.366
Cl1 Cl 0.500 0.000 0.097
```

Relative energies, in eV/atom, with the most stable structure set to zero: P 0.000; Q 0.141.

P:
ZrAuCl at its PBEsol-relaxed geometry. Source: Alexandria via LeMat-Bulk, functional meta-GGA SCAN.

Summary:
Crystal system: cubic
DOS at the Fermi energy (states/eV/f.u.): 2.03

Geometry as CIF:
```
data_ZrAuCl
_chemical_formula_sum 'Zr4 Au4 Cl4'
_space_group_name_H-M_alt 'F -4 3 m'
_space_group_IT_number 216
_space_group_name_Hall 'F -4 2 3'
_cell_length_a 6.339
_cell_length_b 6.339
_cell_length_c 6.339
_cell_angle_alpha 90.00
_cell_angle_beta 90.00
_cell_angle_gamma 90.00
loop_
_atom_site_label
_atom_site_type_symbol
_atom_site_fract_x
_atom_site_fract_y
_atom_site_fract_z
Zr1 Zr 0.000 0.000 0.000
Au1 Au 0.250 0.250 0.750
Cl1 Cl 0.250 0.250 0.250
```

Q:
ZrAuCl at its PBEsol-relaxed geometry. Source: Alexandria via LeMat-Bulk, functional meta-GGA SCAN.

Summary:
Crystal system: trigonal
DOS at the Fermi energy (states/eV/f.u.): 0.73

Geometry as CIF:
```
data_ZrAuCl
_chemical_formula_sum 'Zr1 Au1 Cl1'
_space_group_name_H-M_alt 'P 3 m 1'
_space_group_IT_number 156
_cell_length_a 3.2088
_cell_length_b 3.2088
_cell_length_c 6.8724
_cell_angle_alpha 90.00
_cell_angle_beta 90.00
_cell_angle_gamma 120.00
loop_
_space_group_symop_operation_xyz
'x,y,z'
'-y,x-y,z'
'-x+y,-x,z'
'-y,-x,z'
'-x+y,y,z'
'x,x-y,z'
loop_
_atom_site_label
_atom_site_type_symbol
_atom_site_fract_x
_atom_site_fract_y
_atom_site_fract_z
Zr1 Zr 0.0000 0.0000 0.0000
Au1 Au 0.6667 0.3333 0.6885
Cl1 Cl 0.3333 0.6667 0.2644
```

Relative energies, in eV/atom, with the most stable structure set to zero: P 0.371; Q 0.000.

P:
CrCoAu2 at its PBEsol-relaxed geometry. Source: Alexandria via LeMat-Bulk, functional meta-GGA SCAN.

Summary:
Crystal system: tetragonal
DOS at the Fermi energy (states/eV/f.u.): 2.72

Geometry as CIF:
```
data_CrCoAu2
_chemical_formula_sum 'Cr1 Co1 Au2'
_space_group_name_H-M_alt 'P 4 m m'
_space_group_IT_number 99
_cell_length_a 2.729
_cell_length_b 2.729
_cell_length_c 7.471
_cell_angle_alpha 90.00
_cell_angle_beta 90.00
_cell_angle_gamma 90.00
loop_
_space_group_symop_operation_xyz
'x,y,z'
'-y,x,z'
'-x,-y,z'
'y,-x,z'
'-x,y,z'
'y,x,z'
'x,-y,z'
'-y,-x,z'
loop_
_atom_site_label
_atom_site_type_symbol
_atom_site_fract_x
_atom_site_fract_y
_atom_site_fract_z
Cr1 Cr 0.000 0.000 0.000
Co1 Co 0.500 0.500 0.825
Au1 Au 0.000 0.000 0.567
Au2 Au 0.500 0.500 0.266
```

Q:
CrCoAu2 at its PBEsol-relaxed geometry. Source: Alexandria via LeMat-Bulk, functional meta-GGA SCAN.

Summary:
Crystal system: tetragonal
DOS at the Fermi energy (states/eV/f.u.): 2.38

Geometry as CIF:
```
data_CrCoAu2
_chemical_formula_sum 'Cr1 Co1 Au2'
_space_group_name_H-M_alt 'P 4/m m m'
_space_group_IT_number 123
_space_group_name_Hall '-P 4 2'
_cell_length_a 3.892
_cell_length_b 3.892
_cell_length_c 3.786
_cell_angle_alpha 90.00
_cell_angle_beta 90.00
_cell_angle_gamma 90.00
loop_
_atom_site_label
_atom_site_type_symbol
_atom_site_fract_x
_atom_site_fract_y
_atom_site_fract_z
Cr1 Cr 0.000 0.000 0.000
Co1 Co 0.500 0.500 0.000
Au1 Au 0.000 0.500 0.500
```

R:
CrCoAu2 at its PBEsol-relaxed geometry. Source: Alexandria via LeMat-Bulk, functional meta-GGA SCAN.

Summary:
Crystal system: monoclinic
DOS at the Fermi energy (states/eV/f.u.): 2.01

Geometry as CIF:
```
data_CrCoAu2
_chemical_formula_sum 'Cr2 Co2 Au4'
_space_group_name_H-M_alt 'C 1 m 1'
_space_group_IT_number 8
_cell_length_a 9.152
_cell_length_b 2.821
_cell_length_c 4.585
_cell_angle_alpha 90.00
_cell_angle_beta 106.36
_cell_angle_gamma 90.00
loop_
_space_group_symop_operation_xyz
'x,y,z'
'x,-y,z'
'x+1/2,y+1/2,z'
'x+1/2,-y+1/2,z'
loop_
_atom_site_label
_atom_site_type_symbol
_atom_site_fract_x
_atom_site_fract_y
_atom_site_fract_z
Cr1 Cr 0.000 0.000 0.000
Co1 Co 0.209 0.500 0.241
Au1 Au 0.240 0.000 0.767
Au2 Au 0.466 0.000 0.469
```

Relative energies, in eV/atom, with the most stable structure set to zero: P 0.115; Q 0.000; R 0.053.

P:
FeCo2Au at its PBEsol-relaxed geometry. Source: Alexandria via LeMat-Bulk, functional meta-GGA SCAN.

Summary:
Crystal system: orthorhombic
DOS at the Fermi energy (states/eV/f.u.): 2.08

Geometry as CIF:
```
data_FeCo2Au
_chemical_formula_sum 'Fe1 Co2 Au1'
_space_group_name_H-M_alt 'P m m 2'
_space_group_IT_number 25
_cell_length_a 2.672
_cell_length_b 3.465
_cell_length_c 5.333
_cell_angle_alpha 90.00
_cell_angle_beta 90.00
_cell_angle_gamma 90.00
loop_
_space_group_symop_operation_xyz
'x,y,z'
'-x,-y,z'
'-x,y,z'
'x,-y,z'
loop_
_atom_site_label
_atom_site_type_symbol
_atom_site_fract_x
_atom_site_fract_y
_atom_site_fract_z
Fe1 Fe 0.000 0.000 0.000
Co1 Co 0.000 0.000 0.571
Co2 Co 0.500 0.500 0.776
Au1 Au 0.500 0.500 0.285
```

Q:
FeCo2Au at its PBEsol-relaxed geometry. Source: Alexandria via LeMat-Bulk, functional meta-GGA SCAN.

Summary:
Crystal system: tetragonal
DOS at the Fermi energy (states/eV/f.u.): 1.98

Geometry as CIF:
```
data_FeCo2Au
_chemical_formula_sum 'Fe2 Co4 Au2'
_space_group_name_H-M_alt 'I -4 m 2'
_space_group_IT_number 119
_space_group_name_Hall 'I -4 -2'
_cell_length_a 3.657
_cell_length_b 3.657
_cell_length_c 7.336
_cell_angle_alpha 90.00
_cell_angle_beta 90.00
_cell_angle_gamma 90.00
loop_
_atom_site_label
_atom_site_type_symbol
_atom_site_fract_x
_atom_site_fract_y
_atom_site_fract_z
Fe1 Fe 0.000 0.000 0.000
Co1 Co 0.000 0.000 0.500
Co2 Co 0.000 0.500 0.250
Au1 Au 0.000 0.500 0.750
```

Relative energies, in eV/atom, with the most stable structure set to zero: P 0.039; Q 0.000.

P:
FeCoAu2 at its PBEsol-relaxed geometry. Source: Alexandria via LeMat-Bulk, functional meta-GGA SCAN.

Summary:
Crystal system: tetragonal
DOS at the Fermi energy (states/eV/f.u.): 1.93

Geometry as CIF:
```
data_FeCoAu2
_chemical_formula_sum 'Fe1 Co1 Au2'
_space_group_name_H-M_alt 'P 4/m m m'
_space_group_IT_number 123
_space_group_name_Hall '-P 4 2'
_cell_length_a 3.841
_cell_length_b 3.841
_cell_length_c 3.813
_cell_angle_alpha 90.00
_cell_angle_beta 90.00
_cell_angle_gamma 90.00
loop_
_atom_site_label
_atom_site_type_symbol
_atom_site_fract_x
_atom_site_fract_y
_atom_site_fract_z
Fe1 Fe 0.000 0.000 0.000
Co1 Co 0.500 0.500 0.000
Au1 Au 0.000 0.500 0.500
```

Q:
FeCoAu2 at its PBEsol-relaxed geometry. Source: Alexandria via LeMat-Bulk, functional meta-GGA SCAN.

Summary:
Crystal system: tetragonal
DOS at the Fermi energy (states/eV/f.u.): 1.54

Geometry as CIF:
```
data_FeCoAu2
_chemical_formula_sum 'Fe2 Co2 Au4'
_space_group_name_H-M_alt 'I -4 m 2'
_space_group_IT_number 119
_space_group_name_Hall 'I -4 -2'
_cell_length_a 3.820
_cell_length_b 3.820
_cell_length_c 7.682
_cell_angle_alpha 90.00
_cell_angle_beta 90.00
_cell_angle_gamma 90.00
loop_
_atom_site_label
_atom_site_type_symbol
_atom_site_fract_x
_atom_site_fract_y
_atom_site_fract_z
Fe1 Fe 0.000 0.000 0.000
Co1 Co 0.000 0.500 0.750
Au1 Au 0.000 0.000 0.500
Au2 Au 0.000 0.500 0.250
```

R:
FeCoAu2 at its PBEsol-relaxed geometry. Source: Alexandria via LeMat-Bulk, functional meta-GGA SCAN.

Summary:
Crystal system: cubic
DOS at the Fermi energy (states/eV/f.u.): 3.21

Geometry as CIF:
```
data_FeCoAu2
_chemical_formula_sum 'Fe4 Co4 Au8'
_space_group_name_H-M_alt 'F m -3 m'
_space_group_IT_number 225
_space_group_name_Hall '-F 4 2 3'
_cell_length_a 6.082
_cell_length_b 6.082
_cell_length_c 6.082
_cell_angle_alpha 90.00
_cell_angle_beta 90.00
_cell_angle_gamma 90.00
loop_
_atom_site_label
_atom_site_type_symbol
_atom_site_fract_x
_atom_site_fract_y
_atom_site_fract_z
Fe1 Fe 0.000 0.000 0.000
Co1 Co 0.000 0.000 0.500
Au1 Au 0.250 0.250 0.250
```

Relative energies, in eV/atom, with the most stable structure set to zero: P 0.045; Q 0.000; R 0.122.